First-principles (SCAN) data for Ba3GeI2 at its PBEsol-relaxed geometry, as listed in Alexandria via LeMat-Bulk.

The value obtained for the formation energy from raw total energies is -1.353 eV/atom. Its density is 4.82 g/cm³.

The space group is Fddd (No. 70, origin choice 2) and the conventional cell measures 9.966, 13.939 and 29.302 Å, with angles of 90.00, 90.00 and 90.00 degrees. The inequivalent atoms are Ba at (0.087, 0.375, 0.375), Ba at (0.111, 0.358, 0.215), Ge at (0.125, 0.125, 0.041), I at (0.125, 0.125, 0.379) and I at (0.125, 0.125, 0.547).